A relaxed SiH6F12 crystal. Source: the Alexandria database, functional GGA-PBE.

Unit cell a=6.0056 b=6.0486 c=6.5021 alpha=77.39 beta=85.28 gamma=84.04
Last column: nearest neighbours and their distance in Å.
Element x y z (fractional)
Si: 0.0000 0.0000 0.0000  6 F 1.64-1.79
H: 0.1656 0.1417 0.3303  1 F 0.99
H: 0.2190 0.6555 0.8113  1 F 0.99
H: 0.2866 0.2299 0.7267  1 F 1.08
H: 0.7134 0.7701 0.2733  1 F 1.08
H: 0.7810 0.3445 0.1887  1 F 0.99
H: 0.8344 0.8583 0.6697  1 F 0.99
F: 0.0043 0.8006 0.8326  2 H 1.49-1.50
F: 0.1232 0.8019 0.1801  1 Si 1.64
F: 0.2637 0.0766 0.8904  1 H 1.26
F: 0.2785 0.0829 0.4355  1 H 0.99
F: 0.3048 0.3621 0.5872  1 H 1.08
F: 0.3636 0.5622 0.8082  1 H 0.99
F: 0.6364 0.4378 0.1918  1 H 0.99
F: 0.6952 0.6379 0.4128  1 H 1.08
F: 0.7215 0.9171 0.5645  1 H 0.99
F: 0.7363 0.9234 0.1096  1 H 1.26
F: 0.8768 0.1981 0.8199  1 Si 1.64
F: 0.9957 0.1994 0.1674  2 H 1.49-1.50

Output
The energy above the most stable polymorph in this dataset comes out at 0.0 kJ/mol of atoms. The calculation puts the total magnetization at 2.1 Bohr magnetons per cell.


A relaxed SiH3F crystal. Source: the Alexandria database, functional GGA-PBE.

Unit cell a=4.8813 b=8.1530 c=8.6732 alpha=90.00 beta=119.66 gamma=90.00
Last column: nearest neighbours and their distance in Å.
Element x y z (fractional)
Si: 0.0891 0.2273 0.1429  3 H 1.48-1.49, 1 F 1.64
Si: 0.0891 0.2727 0.6429  3 H 1.48-1.49, 1 F 1.64
Si: 0.9109 0.7273 0.3571  3 H 1.48-1.49, 1 F 1.64
Si: 0.9109 0.7727 0.8571  3 H 1.48-1.49, 1 F 1.64
H: 0.1761 0.0962 0.6681  1 Si 1.49
H: 0.1761 0.4038 0.1681  1 Si 1.49
H: 0.2324 0.6979 0.3856  1 Si 1.48
H: 0.2324 0.8021 0.8856  1 Si 1.48
H: 0.3328 0.1239 0.2859  1 Si 1.48
H: 0.3328 0.3761 0.7859  1 Si 1.48
H: 0.6672 0.6239 0.2141  1 Si 1.48
H: 0.6672 0.8761 0.7141  1 Si 1.48
H: 0.7676 0.1979 0.1144  1 Si 1.48
H: 0.7676 0.3021 0.6144  1 Si 1.48
H: 0.8239 0.5962 0.8319  1 Si 1.49
H: 0.8239 0.9038 0.3319  1 Si 1.49
F: 0.0807 0.1729 0.9580  1 Si 1.64
F: 0.0807 0.3271 0.4580  1 Si 1.64
F: 0.9193 0.6729 0.5420  1 Si 1.64
F: 0.9193 0.8271 0.0420  1 Si 1.64

Output
The energy above the most stable polymorph in this dataset comes out at 0.0 kJ/mol of atoms. For the density of states at the Fermi level, the calculation gives 0.000 states/eV per atom. The calculation puts the total magnetization at 0.0 Bohr magnetons per cell.


A relaxed SiH3F crystal. Source: the Alexandria database, functional GGA-PBE.

Unit cell a=3.2819 b=3.2819 c=3.2819 alpha=90.00 beta=90.00 gamma=90.00
Last column: nearest neighbours and their distance in Å.
Element x y z (fractional)
Si: 0.0000 0.0000 0.0000  6 H 1.64
H: 0.0000 0.0000 0.5000  2 Si 1.64
H: 0.0000 0.5000 0.0000  2 Si 1.64
H: 0.5000 0.0000 0.0000  2 Si 1.64
F: 0.5000 0.5000 0.5000  12 H 2.32

Output
The energy above the most stable polymorph in this dataset comes out at 65.1 kJ/mol of atoms. For the density of states at the Fermi level, the calculation gives 0.445 states/eV per atom. The calculation puts the total magnetization at 0.0 Bohr magnetons per cell.


A relaxed SiH3F crystal. Source: the Alexandria database, functional GGA-PBE.

Unit cell a=4.8558 b=8.0230 c=8.6217 alpha=90.00 beta=115.40 gamma=90.00
Last column: nearest neighbours and their distance in Å.
Element x y z (fractional)
Si: 0.1064 0.2288 0.4103  3 H 1.48-1.49, 1 F 1.64
Si: 0.1064 0.2712 0.9103  3 H 1.48-1.49, 1 F 1.64
Si: 0.8936 0.7288 0.0897  3 H 1.48-1.49, 1 F 1.64
Si: 0.8936 0.7712 0.5897  3 H 1.48-1.49, 1 F 1.64
H: 0.2138 0.7167 0.2213  1 Si 1.48
H: 0.2138 0.7833 0.7213  1 Si 1.48
H: 0.2207 0.0970 0.9387  1 Si 1.49
H: 0.2207 0.4030 0.4387  1 Si 1.49
H: 0.3150 0.1140 0.3773  1 Si 1.48
H: 0.3150 0.3860 0.8773  1 Si 1.48
H: 0.6850 0.6140 0.1227  1 Si 1.48
H: 0.6850 0.8860 0.6227  1 Si 1.48
H: 0.7793 0.5970 0.5613  1 Si 1.49
H: 0.7793 0.9030 0.0613  1 Si 1.49
H: 0.7862 0.2167 0.2787  1 Si 1.48
H: 0.7862 0.2833 0.7787  1 Si 1.48
F: 0.1053 0.1685 0.5924  1 Si 1.64
F: 0.1053 0.3315 0.0924  1 Si 1.64
F: 0.8947 0.6685 0.9076  1 Si 1.64
F: 0.8947 0.8315 0.4076  1 Si 1.64

Output
The energy above the most stable polymorph in this dataset comes out at 0.0 kJ/mol of atoms. For the density of states at the Fermi level, the calculation gives 0.000 states/eV per atom. The calculation puts the total magnetization at 0.0 Bohr magnetons per cell.


A relaxed SiHF2 crystal. Source: the Alexandria database, functional GGA-PBE.

Unit cell a=5.8929 b=5.8929 c=5.8929 alpha=25.51 beta=25.51 gamma=25.51
Last column: nearest neighbours and their distance in Å.
Element x y z (fractional)
Si: 0.0000 0.0000 0.0000  2 F 1.87
H: 0.5000 0.5000 0.5000  6 F 1.79
F: 0.1093 0.1093 0.1093  3 H 1.79, 1 Si 1.87
F: 0.8907 0.8907 0.8907  3 H 1.79, 1 Si 1.87

Output
The energy above the most stable polymorph in this dataset comes out at 27.3 kJ/mol of atoms. For the density of states at the Fermi level, the calculation gives 0.107 states/eV per atom. The calculation puts the total magnetization at 0.0 Bohr magnetons per cell.


A relaxed SiHF3 crystal. Source: the Alexandria database, functional GGA-PBE.

Unit cell a=6.9435 b=2.8361 c=6.0920 alpha=90.00 beta=90.00 gamma=90.00
Last column: nearest neighbours and their distance in Å.
Element x y z (fractional)
Si: 0.2500 0.0000 0.2399  1 H 1.46, 1 F 1.61
Si: 0.7500 0.0000 0.7601  1 H 1.46, 1 F 1.61
H: 0.2500 0.0000 0.9997  1 Si 1.46
H: 0.7500 0.0000 0.0003  1 Si 1.46
F: 0.0787 0.5000 0.2412  2 Si 1.85
F: 0.2500 0.0000 0.5043  1 Si 1.61
F: 0.4213 0.5000 0.2412  2 Si 1.85
F: 0.5787 0.5000 0.7588  2 Si 1.85
F: 0.7500 0.0000 0.4957  1 Si 1.61
F: 0.9213 0.5000 0.7588  2 Si 1.85

Output
The energy above the most stable polymorph in this dataset comes out at 0.0 kJ/mol of atoms. For the density of states at the Fermi level, the calculation gives 0.000 states/eV per atom. The calculation puts the total magnetization at 0.0 Bohr magnetons per cell.


A relaxed Tl2SiH2F4 crystal. Source: the Alexandria database, functional GGA-PBE.

Unit cell a=5.7542 b=5.7542 c=4.9355 alpha=94.13 beta=94.13 gamma=60.85
Last column: nearest neighbours and their distance in Å.
Element x y z (fractional)
Tl: 0.1641 0.1641 0.3065  6 F 2.86-3.07, 3 H 2.98-3.05
Tl: 0.8359 0.8359 0.6935  6 F 2.86-3.07, 3 H 2.98-3.05
Si: 0.5000 0.5000 0.0000  2 H 1.53
H: 0.3940 0.3940 0.7577  1 Si 1.53
H: 0.6060 0.6060 0.2423  1 Si 1.53
F: 0.1895 0.6252 0.1575  1 Si 1.78
F: 0.3748 0.8105 0.8425  1 Si 1.78
F: 0.6252 0.1895 0.1575  1 Si 1.78
F: 0.8105 0.3748 0.8425  1 Si 1.78

Output
For the density of states at the Fermi level, the calculation gives 0.000 states/eV per atom. The calculation puts the total magnetization at 0.0 Bohr magnetons per cell. Its total energy is -4.410 eV per atom.